1.
The following is a DFT calculation (GGA-PBE) of an optimized crystal structure of Er8AlOs2.

```
Er8AlOs2
1.0
5.328 0.146 -0.834
-1.709 7.020 -2.880
0.152 -0.009 7.776
Er Al Os
8 1 2
Direct
0.581 0.332 0.066
0.581 0.066 0.332
0.198 0.382 0.382
0.000 0.247 0.759
0.000 0.759 0.247
0.802 0.624 0.624
0.418 0.941 0.674
0.418 0.674 0.941
0.000 0.003 0.003
0.500 0.687 0.319
0.500 0.319 0.687
```

Calculated values
The spin magnetization comes out at 0.00 Bohr magnetons per cell. The calculation puts the formation energy at -0.2080 eV/atom. Its density of states at the Fermi level is 8.347 states/eV/cell. The space-group type is C2/m, No. 12.

---

2.
The following is a DFT calculation (GGA-PBE) of an optimized crystal structure of Pr2SnRh.

```
Pr2SnRh
1.0
3.575 0.000 0.000
0.000 3.575 0.000
0.000 0.000 8.195
Pr Rh Sn
2 1 1
Direct
0.000 0.000 0.785
0.000 0.000 0.215
0.500 0.500 0.000
0.500 0.500 0.500
```

Calculated values
The spin magnetization comes out at 0.00 Bohr magnetons per cell. The calculation puts the formation energy at -0.6383 eV/atom. Its density of states at the Fermi level is 2.945 states/eV/cell. The space-group type is P4/mmm, No. 123.

---

3.
The following is a DFT calculation (GGA-PBE) of an optimized crystal structure of Tb2SmY4Tm2.

```
Tb2SmY4Tm2
1.0
3.589 0.000 0.000
-1.795 9.306 -0.495
0.000 -3.681 8.794
Tb Sm Y Tm
2 1 4 2
Direct
0.851 0.703 0.332
0.149 0.297 0.668
0.000 0.000 0.000
0.814 0.629 0.667
0.186 0.371 0.333
0.519 0.037 0.335
0.481 0.963 0.665
0.332 0.664 0.000
0.668 0.336 0.000
```

Calculated values
The spin magnetization comes out at 0.00 Bohr magnetons per cell. The calculation puts the formation energy at 0.0035 eV/atom. Its density of states at the Fermi level is 12.660 states/eV/cell. The space-group type is C2/m, No. 12.